# 1
TbPr6Nd3Er2 (PBE-GGA, relaxed); formation energy from the elements = 14 meV/atom; M_tot = 0.00 μB/f.u.; final energy = -0.173 hartree per atom; symmetry = C2/m, No. 12
1.0
-1.764 -5.401 2.854
5.847 2.321 0.918
-5.288 7.231 8.055
Er Pr Nd Tb
2 6 3 1
direct
0.333 0.667 0.000
0.667 0.333 0.000
0.749 0.749 0.245
0.918 0.584 0.755
0.416 0.082 0.245
0.584 0.918 0.755
0.082 0.416 0.245
0.251 0.251 0.755
0.833 0.167 0.500
0.500 0.500 0.500
0.167 0.833 0.500
0.000 0.000 0.000

# 2
PuTh3 (PBE-GGA, relaxed); offset from the most stable computed form = 0 meV per atom; formation energy from the elements = 69 meV/atom; M_tot = 5.62 μB/f.u.; final energy = -0.334 hartree per atom; symmetry = Pm-3m, No. 221
1.0
-1.926 2.546 3.787
-4.431 -0.060 -2.213
-1.092 -4.248 2.301
Pu Th
1 3
direct
0.000 0.000 0.000
0.500 0.500 0.000
0.500 0.000 0.500
0.000 0.500 0.500

# 3
CoPOs2 (PBE-GGA, relaxed); formation energy from the elements = 126 meV/atom; M_tot = 0.97 μB/f.u.; final energy = -0.317 hartree per atom; symmetry = P2/m, No. 10
1.0
3.728 0.000 0.000
0.000 2.821 0.007
0.000 1.615 4.989
Os P Co
2 1 1
direct
0.000 0.370 0.490
0.000 0.130 0.010
0.500 0.250 0.250
0.500 0.750 0.750

# 4
RbRe (PBE-GGA, relaxed); offset from the most stable computed form = 177 meV per atom; formation energy from the elements = 894 meV/atom; M_tot = 0.00 μB/f.u.; final energy = -0.214 hartree per atom; symmetry = Pmmn, No. 59
1.0
-7.318 -2.987 -0.903
3.998 -11.014 4.037
-0.943 1.112 3.967
Rb Re
6 6
direct
0.783 0.337 0.000
0.000 0.809 0.000
0.217 0.337 0.000
0.500 0.191 0.500
0.283 0.663 0.500
0.717 0.663 0.500
0.161 0.016 0.500
0.000 0.080 0.000
0.661 0.984 0.000
0.500 0.920 0.500
0.839 0.016 0.500
0.339 0.984 0.000